[1]
The following is a DFT calculation (PBE) of a geometry-optimized NiIr4Rh5 structure.

Geometry as CIF:
```
data_NiIr4Rh5
_space_group_name_H-M_alt 'P 4/m m m'
_space_group_IT_number 123
_space_group_name_Hall '-P 4 2'
_cell_length_a 2.725
_cell_length_b 2.725
_cell_length_c 18.913
_cell_angle_alpha 90.00
_cell_angle_beta 90.00
_cell_angle_gamma 90.00
loop_
_atom_site_label
_atom_site_fract_x
_atom_site_fract_y
_atom_site_fract_z
Ni1 0.000 0.000 0.000
Ir1 0.000 0.000 0.193
Ir2 0.000 0.000 0.398
Rh1 0.500 0.500 0.093
Rh2 0.500 0.500 0.296
Rh3 0.500 0.500 0.500
```

Properties
DFT formation energy   0.01 eV per atom
Energy   -7.7920 eV/atom
Total magnetic moment   0.33 μB/cell

---

[2]
The following is a DFT calculation (PBE) of a geometry-optimized MgGaPb3 structure.

Geometry as CIF:
```
data_MgGaPb3
_space_group_name_H-M_alt 'P m -3 m'
_space_group_IT_number 221
_space_group_name_Hall '-P 4 2 3'
_cell_length_a 5.539
_cell_length_b 5.539
_cell_length_c 5.539
_cell_angle_alpha 90.00
_cell_angle_beta 90.00
_cell_angle_gamma 90.00
loop_
_atom_site_label
_atom_site_fract_x
_atom_site_fract_y
_atom_site_fract_z
Mg1 0.000 0.000 0.000
Ga1 0.500 0.500 0.500
Pb1 0.000 0.000 0.500
```

Properties
DFT formation energy   0.43 eV per atom
Energy   -2.7206 eV/atom
Total magnetic moment   0.00 μB/cell

---

[3]
The following is a DFT calculation (PBE) of a geometry-optimized LaNdCoCu structure.

Geometry as CIF:
```
data_LaNdCoCu
_space_group_name_H-M_alt 'F -4 3 m'
_space_group_IT_number 216
_space_group_name_Hall 'F -4 2 3'
_cell_length_a 7.093
_cell_length_b 7.093
_cell_length_c 7.093
_cell_angle_alpha 90.00
_cell_angle_beta 90.00
_cell_angle_gamma 90.00
loop_
_atom_site_label
_atom_site_fract_x
_atom_site_fract_y
_atom_site_fract_z
La1 0.000 0.000 0.000
Nd1 0.000 0.000 0.500
Co1 0.250 0.250 0.250
Cu1 0.250 0.250 0.750
```

Properties
DFT formation energy   -0.04 eV per atom
Energy   -5.2663 eV/atom
Total magnetic moment   0.00 μB/cell

---

[4]
The following is a DFT calculation (PBE) of a geometry-optimized TcAg2SbRh structure.

Geometry as CIF:
```
data_TcAg2SbRh
_space_group_name_H-M_alt 'P 4/m m m'
_space_group_IT_number 123
_space_group_name_Hall '-P 4 2'
_cell_length_a 5.012
_cell_length_b 5.012
_cell_length_c 5.060
_cell_angle_alpha 90.00
_cell_angle_beta 90.00
_cell_angle_gamma 90.00
loop_
_atom_site_label
_atom_site_fract_x
_atom_site_fract_y
_atom_site_fract_z
Tc1 0.000 0.000 0.000
Ag1 0.000 0.500 0.500
Sb1 0.000 0.000 0.500
Rh1 0.500 0.500 0.000
```

Properties
Energy   -4.0244 eV/atom
Total magnetic moment   3.71 μB/cell
E_form (uncorrected)   1.48 eV/atom

---

[5]
The following is a DFT calculation (PBE) of a geometry-optimized NaNb2Al2 structure.

Geometry as CIF:
```
data_NaNb2Al2
_space_group_name_H-M_alt 'P 4/m b m'
_space_group_IT_number 127
_space_group_name_Hall '-P 4 2ab'
_cell_length_a 8.399
_cell_length_b 8.399
_cell_length_c 2.803
_cell_angle_alpha 90.00
_cell_angle_beta 90.00
_cell_angle_gamma 90.00
loop_
_atom_site_label
_atom_site_fract_x
_atom_site_fract_y
_atom_site_fract_z
Na1 0.000 0.000 0.000
Nb1 0.113 0.387 0.000
Al1 0.179 0.679 0.500
```

Properties
DFT formation energy   0.05 eV per atom
Energy   -5.7362 eV/atom
Total magnetic moment   0.00 μB/cell

---

[6]
The following is a DFT calculation (PBE) of a geometry-optimized AcLa2Tb3Sm6 structure.

Geometry as CIF:
```
data_AcLa2Tb3Sm6
_space_group_name_H-M_alt 'C 1 2/m 1'
_space_group_IT_number 12
_space_group_name_Hall '-C 2y'
_cell_length_a 6.352
_cell_length_b 11.010
_cell_length_c 12.137
_cell_angle_alpha 90.00
_cell_angle_beta 100.10
_cell_angle_gamma 90.00
loop_
_atom_site_label
_atom_site_fract_x
_atom_site_fract_y
_atom_site_fract_z
Ac1 0.000 0.000 0.000
La1 0.000 0.333 0.000
Tb1 0.000 0.167 0.500
Tb2 0.000 0.500 0.500
Sm1 0.246 0.333 0.743
Sm2 0.248 0.000 0.743
```

Properties
DFT formation energy   0.03 eV per atom
Energy   -4.6527 eV/atom
Total magnetic moment   0.00 μB/cell

---

[7]
The following is a DFT calculation (PBE) of a geometry-optimized RbBa2InF structure.

Geometry as CIF:
```
data_RbBa2InF
_space_group_name_H-M_alt 'P 4/m m m'
_space_group_IT_number 123
_space_group_name_Hall '-P 4 2'
_cell_length_a 5.764
_cell_length_b 5.764
_cell_length_c 5.473
_cell_angle_alpha 90.00
_cell_angle_beta 90.00
_cell_angle_gamma 90.00
loop_
_atom_site_label
_atom_site_fract_x
_atom_site_fract_y
_atom_site_fract_z
Rb1 0.000 0.000 0.000
Ba1 0.000 0.500 0.500
In1 0.500 0.500 0.000
F1 0.000 0.000 0.500
```

Properties
Energy   -3.0352 eV/atom
Total magnetic moment   0.00 μB/cell
E_form (uncorrected)   -1.15 eV/atom

---

[8]
The following is a DFT calculation (PBE) of a geometry-optimized Ni2Pd6Pt structure.

Geometry as CIF:
```
data_Ni2Pd6Pt
_space_group_name_H-M_alt 'P -6 m 2'
_space_group_IT_number 187
_space_group_name_Hall 'P -6 2'
_cell_length_a 2.7372
_cell_length_b 2.7372
_cell_length_c 20.4971
_cell_angle_alpha 90.00
_cell_angle_beta 90.00
_cell_angle_gamma 120.00
loop_
_atom_site_label
_atom_site_fract_x
_atom_site_fract_y
_atom_site_fract_z
Ni1 0.0000 0.0000 0.1661
Pd1 0.0000 0.0000 0.3838
Pd2 0.6667 0.3333 0.0642
Pd3 0.6667 0.3333 0.2685
Pt1 0.6667 0.3333 0.5000
```

Properties
DFT formation energy   0.11 eV per atom
Energy   -5.3086 eV/atom
Total magnetic moment   0.00 μB/cell

---

[9]
The following is a DFT calculation (PBE) of a geometry-optimized Ti2CdO structure.

Geometry as CIF:
```
data_Ti2CdO
_space_group_name_H-M_alt 'R -3 m'
_space_group_IT_number 166
_space_group_name_Hall '-R 3 2"'
_cell_length_a 3.1519
_cell_length_b 3.1519
_cell_length_c 20.5183
_cell_angle_alpha 90.00
_cell_angle_beta 90.00
_cell_angle_gamma 120.00
loop_
_atom_site_label
_atom_site_fract_x
_atom_site_fract_y
_atom_site_fract_z
Ti1 0.0000 0.0000 0.2172
Cd1 0.0000 0.0000 0.0000
O1 0.0000 0.0000 0.5000
```

Properties
Energy   -6.6694 eV/atom
Total magnetic moment   0.00 μB/cell
E_form (uncorrected)   -1.25 eV/atom

---

[10]
The following is a DFT calculation (PBE) of a geometry-optimized Er3ThH8 structure.

Geometry as CIF:
```
data_Er3ThH8
_space_group_name_H-M_alt 'P m -3 m'
_space_group_IT_number 221
_space_group_name_Hall '-P 4 2 3'
_cell_length_a 5.203
_cell_length_b 5.203
_cell_length_c 5.203
_cell_angle_alpha 90.00
_cell_angle_beta 90.00
_cell_angle_gamma 90.00
loop_
_atom_site_label
_atom_site_fract_x
_atom_site_fract_y
_atom_site_fract_z
Er1 0.000 0.000 0.500
Th1 0.500 0.500 0.500
H1 0.241 0.241 0.241
```

Properties
Energy   -4.6479 eV/atom
Total magnetic moment   0.00 μB/cell

---

[11]
The following is a DFT calculation (PBE) of a geometry-optimized ZnCdCoH6 structure.

Geometry as CIF:
```
data_ZnCdCoH6
_space_group_name_H-M_alt 'P 3 1 2'
_space_group_IT_number 149
_space_group_name_Hall 'P 3 2'
_cell_length_a 4.4444
_cell_length_b 4.4444
_cell_length_c 4.5484
_cell_angle_alpha 90.00
_cell_angle_beta 90.00
_cell_angle_gamma 120.00
loop_
_atom_site_label
_atom_site_fract_x
_atom_site_fract_y
_atom_site_fract_z
Zn1 0.0000 0.0000 0.0000
Cd1 0.6667 0.3333 0.5000
Co1 0.3333 0.6667 0.0000
H1 0.0590 0.3873 0.2188
```

Properties
Energy   -3.1575 eV/atom
Total magnetic moment   0.00 μB/cell

---

[12]
The following is a DFT calculation (PBE) of a geometry-optimized LiIrRh2 structure.

Geometry as CIF:
```
data_LiIrRh2
_space_group_name_H-M_alt 'P m m m'
_space_group_IT_number 47
_space_group_name_Hall '-P 2 2'
_cell_length_a 2.710
_cell_length_b 3.829
_cell_length_c 5.281
_cell_angle_alpha 90.00
_cell_angle_beta 90.00
_cell_angle_gamma 90.00
loop_
_atom_site_label
_atom_site_fract_x
_atom_site_fract_y
_atom_site_fract_z
Li1 0.000 0.000 0.000
Ir1 0.000 0.000 0.500
Rh1 0.500 0.500 0.246
```

Properties
DFT formation energy   -0.06 eV per atom
Energy   -6.4289 eV/atom
Total magnetic moment   0.00 μB/cell